Density functional theory data (GGA-PBE) for an optimized crystal structure of Pr7CI12.

- calculated density (Mg/m³) = 5.3
- total magnetic moment (μB/atom) = 0.06
- energy (eV/cell) = -86.18
- E_form (uncorrected) (eV per atom) = -1.245

Cell and atoms, written as CIF:
```
data_Pr7CI12
_space_group_name_H-M_alt 'P 1'
_space_group_IT_number 1
_cell_length_a 9.903
_cell_length_b 9.903
_cell_length_c 9.903
_cell_angle_alpha 107.77
_cell_angle_beta 107.77
_cell_angle_gamma 107.77
loop_
_space_group_symop_operation_xyz
'x,y,z'
loop_
_atom_site_label
_atom_site_fract_x
_atom_site_fract_y
_atom_site_fract_z
Pr1 0.000 0.000 0.000
Pr2 0.207 0.400 0.468
Pr3 0.400 0.468 0.207
Pr4 0.468 0.207 0.400
Pr5 0.532 0.793 0.600
Pr6 0.600 0.532 0.793
Pr7 0.793 0.600 0.532
C1 0.500 0.500 0.500
I1 0.029 0.350 0.111
I2 0.111 0.029 0.350
I3 0.187 0.728 0.578
I4 0.272 0.422 0.813
I5 0.350 0.111 0.029
I6 0.422 0.813 0.272
I7 0.578 0.187 0.728
I8 0.650 0.889 0.971
I9 0.728 0.578 0.187
I10 0.813 0.272 0.422
I11 0.889 0.971 0.650
I12 0.971 0.650 0.889
```